Computed, not measured: Li2CaZnF after structural relaxation at the PBE level of DFT.

Structure (extended XYZ):
```
5
Lattice="4.3745 0.0000 0.0000 0.0000 4.3745 0.0000 0.0000 0.0000 4.7156" Properties=species:S:1:pos:R:3 pbc="T T T"
Li 0.0000 2.1873 0.0000
Li 2.1873 0.0000 0.0000
Ca 0.0000 0.0000 2.3578
Zn 2.1873 2.1873 2.3578
F 0.0000 0.0000 0.0000
```

The value obtained for the raw formation energy is -1129 meV/atom. The spin magnetization is 0.00 μB/atom. Its uncorrected energy is -2.924 eV/atom.